Record 1
Density functional theory data (PBE-GGA) for crystalline Nd3HoTm3 at its relaxed geometry.

Cell lengths 9.5961, 9.5961, 5.7328 Å; angles 90.00, 90.00, 120.00 degrees
With the nearest neighbours (Å) after each atom.
Space group P6_3/m (No. 176)
Unique sites:
Nd (0.0498, 0.8054, 0.2500) x6  5 Tm 3.54-3.67, 1 Ho 3.58, 6 Nd 3.58-3.72
Ho (0.3333, 0.6667, 0.2500) x2  9 Tm 3.54-3.62, 3 Nd 3.58
Tm (0.0956, 0.6155, 0.7500) x6  4 Tm 3.53-3.60, 5 Nd 3.54-3.67, 3 Ho 3.54-3.62

D(E_F) (states/eV/f.u.): 12.2
Electronic total energy (eV/atom): -4.593
ΔE_f (kJ/mol of atoms): 2
Crystal system: hexagonal
Energy above the lowest structure with this stoichiometry (meV per atom): 0

---

Record 2
Density functional theory data (PBE-GGA) for crystalline PmInGaGe at its relaxed geometry.

Cell lengths 4.2547, 4.4923, 4.7114 Å; angles 90.00, 90.00, 90.00 degrees
With the nearest neighbours (Å) after each atom.
Space group Pmmm (No. 47)
Unique sites:
Pm (0.0000, 0.0000, 0.0000) x1  4 Ge 3.09, 4 Ga 3.17, 4 In 3.25
In (0.0000, 0.5000, 0.5000) x1  4 Ga 3.09, 4 Ge 3.17, 4 Pm 3.25
Ga (0.5000, 0.0000, 0.5000) x1  4 In 3.09, 4 Pm 3.17, 4 Ge 3.25
Ge (0.5000, 0.5000, 0.0000) x1  4 Pm 3.09, 4 In 3.17, 4 Ga 3.25

D(E_F) (states/eV/f.u.): 1.5
Electronic total energy (eV/atom): -4.262
ΔE_f (kJ/mol of atoms): -46
Crystal system: orthorhombic
Energy above the lowest structure with this stoichiometry (meV per atom): 0

---

Record 3
Density functional theory data (PBE-GGA) for crystalline BiWSe2Br at its relaxed geometry.

Cell lengths 4.9784, 4.9784, 5.1805 Å; angles 90.00, 90.00, 90.00 degrees
With the nearest neighbours (Å) after each atom.
Space group P4/mmm (No. 123)
Unique sites:
Bi (0.0000, 0.0000, 0.0000) x1  4 Br 3.52, 8 Se 3.59
W (0.5000, 0.5000, 0.5000) x1  4 Se 2.49, 2 Br 2.59
Se (0.0000, 0.5000, 0.5000) x2  2 W 2.49
Br (0.5000, 0.5000, 0.0000) x1  2 W 2.59

D(E_F) (states/eV/f.u.): 5.0
Electronic total energy (eV/atom): -4.736
Crystal system: tetragonal
Energy above the lowest structure with this stoichiometry (meV per atom): 0

---

Record 4
Density functional theory data (PBE-GGA) for crystalline MnMo3N at its relaxed geometry.

Cell lengths 4.0657, 4.0657, 4.0657 Å; angles 90.00, 90.00, 90.00 degrees
With the nearest neighbours (Å) after each atom.
Space group Pm-3m (No. 221)
Unique sites:
Mn (0.0000, 0.0000, 0.0000) x1  12 Mo 2.87
Mo (0.0000, 0.5000, 0.5000) x3  2 N 2.03
N (0.5000, 0.5000, 0.5000) x1  6 Mo 2.03

D(E_F) (states/eV/f.u.): 4.6
Electronic total energy (eV/atom): -9.928
Crystal system: cubic
Energy above the lowest structure with this stoichiometry (meV per atom): 0

---

Record 5
Density functional theory data (PBE-GGA) for crystalline CeRe2Tc at its relaxed geometry.

Cell lengths 4.4694, 4.4694, 14.9340 Å; angles 90.00, 90.00, 120.00 degrees
With the nearest neighbours (Å) after each atom.
Space group R-3m (No. 166, hexagonal axes)
Unique sites:
Ce (0.0000, 0.0000, 0.0000) x3  2 Re 2.83
Re (0.0000, 0.0000, 0.1893) x6  3 Tc 2.60, 3 Re 2.67, 1 Ce 2.83
Tc (0.0000, 0.0000, 0.5000) x3  6 Re 2.60

D(E_F) (states/eV/f.u.): 5.0
Electronic total energy (eV/atom): -9.978
ΔE_f (kJ/mol of atoms): 31
Crystal system: trigonal

---

Record 6
Density functional theory data (PBE-GGA) for crystalline SnGe2Br6 at its relaxed geometry.

Cell lengths 18.4161, 4.1544, 8.5389 Å; angles 90.00, 104.47, 90.00 degrees
With the nearest neighbours (Å) after each atom.
Space group C2/m (No. 12)
Unique sites:
Sn (0.0000, 0.0000, 0.0000) x2  6 Br 3.00-3.04
Ge (0.1698, 0.5000, 0.3392) x4  6 Br 2.80-2.90
Br (0.0074, 0.5000, 0.2570) x4  1 Ge 2.90, 2 Sn 3.00
Br (0.1701, 0.0000, 0.1102) x4  2 Ge 2.85, 1 Sn 3.04
Br (0.1733, 0.0000, 0.5731) x4  3 Ge 2.80-2.87

D(E_F) (states/eV/f.u.): 0.0
Electronic total energy (eV/atom): -3.205
Crystal system: monoclinic
Energy above the lowest structure with this stoichiometry (meV per atom): 0

---

Record 7
Density functional theory data (PBE-GGA) for crystalline Ta3TiBr at its relaxed geometry.

Cell lengths 4.8085, 4.8085, 4.8085 Å; angles 90.00, 90.00, 90.00 degrees
With the nearest neighbours (Å) after each atom.
Space group Pm-3m (No. 221)
Unique sites:
Ta (0.0000, 0.0000, 0.5000) x3  2 Ti 2.40
Ti (0.0000, 0.0000, 0.0000) x1  6 Ta 2.40
Br (0.5000, 0.5000, 0.5000) x1  12 Ta 3.40

D(E_F) (states/eV/f.u.): 5.9
Electronic total energy (eV/atom): -7.385
Crystal system: cubic
Energy above the lowest structure with this stoichiometry (meV per atom): 296

---

Record 8
Density functional theory data (PBE-GGA) for crystalline Al2TlCl at its relaxed geometry.

Cell lengths 4.6001, 4.6001, 9.0190 Å; angles 90.00, 90.00, 90.00 degrees
With the nearest neighbours (Å) after each atom.
Space group I-4m2 (No. 119)
Unique sites:
Al (0.0000, 0.0000, 0.0000) x2  4 Al 3.22, 4 Cl 3.22, 4 Tl 3.25
Al (0.0000, 0.5000, 0.2500) x2  4 Tl 3.22, 4 Al 3.22, 4 Cl 3.25
Tl (0.0000, 0.0000, 0.5000) x2  4 Cl 3.22, 8 Al 3.22-3.25
Cl (0.0000, 0.5000, 0.7500) x2  4 Tl 3.22, 8 Al 3.22-3.25

D(E_F) (states/eV/f.u.): 2.0
Electronic total energy (eV/atom): -2.791
Crystal system: tetragonal
Energy above the lowest structure with this stoichiometry (meV per atom): 265

---

Record 9
Density functional theory data (PBE-GGA) for crystalline CsFe2B2 at its relaxed geometry.

Cell lengths 3.8743, 3.8743, 12.8240 Å; angles 90.00, 90.00, 90.00 degrees
With the nearest neighbours (Å) after each atom.
Space group I4/mmm (No. 139)
Unique sites:
Cs (0.0000, 0.0000, 0.0000) x2  2 Fe 3.25
Fe (0.0000, 0.0000, 0.2533) x4  4 B 1.94
B (0.0000, 0.5000, 0.2500) x4  4 Fe 1.94

D(E_F) (states/eV/f.u.): 4.0
Electronic total energy (eV/atom): -5.944
ΔE_f (kJ/mol of atoms): 27
Crystal system: tetragonal

---

Record 10
Density functional theory data (PBE-GGA) for crystalline BePb at its relaxed geometry.

Cell lengths 3.8135, 3.8239, 12.3020 Å; angles 90.00, 90.00, 90.00 degrees
With the nearest neighbours (Å) after each atom.
Space group Imma (No. 74)
Unique sites:
Be (0.0000, 0.2500, 0.0358) x4  2 Be 2.11
Pb (0.0000, 0.2500, 0.6247) x4  6 Be 2.74-2.91

D(E_F) (states/eV/f.u.): 0.9
Electronic total energy (eV/atom): -3.198
ΔE_f (kJ/mol of atoms): 50
Crystal system: orthorhombic
Energy above the lowest structure with this stoichiometry (meV per atom): 216

---

Record 11
Density functional theory data (PBE-GGA) for crystalline Ce2HoTh4 at its relaxed geometry.

Cell lengths 7.9211, 7.9211, 3.5407 Å; angles 90.00, 90.00, 90.00 degrees
With the nearest neighbours (Å) after each atom.
Space group P-42m (No. 111)
Unique sites:
Ce (0.0000, 0.5000, 0.0000) x2  4 Th 3.09
Ho (0.0000, 0.0000, 0.5000) x1  4 Th 3.40, 2 Ho 3.54
Th (0.2991, 0.2991, 0.3333) x4  2 Ce 3.09, 2 Th 3.39, 1 Ho 3.40

D(E_F) (states/eV/f.u.): 13.4
Electronic total energy (eV/atom): -6.311
ΔE_f (kJ/mol of atoms): 27
Crystal system: tetragonal
Energy above the lowest structure with this stoichiometry (meV per atom): 259

---

Record 12
Density functional theory data (PBE-GGA) for crystalline LiCl2 at its relaxed geometry.

Cell lengths 11.1726, 3.7306, 7.3152 Å; angles 90.00, 113.70, 90.00 degrees
With the nearest neighbours (Å) after each atom.
Space group C2/m (No. 12)
Unique sites:
Li (0.1246, 0.0000, 0.4055) x4  3 Cl 2.39-2.40
Cl (0.0446, 0.5000, 0.8978) x4  1 Cl 2.10
Cl (0.1721, 0.5000, 0.6300) x4  3 Li 2.39-2.40

D(E_F) (states/eV/f.u.): 0.0
Electronic total energy (eV/atom): -2.989
Crystal system: monoclinic
Energy above the lowest structure with this stoichiometry (meV per atom): 72